{"formula": "LuTiTl2", "functional": "PBE-GGA", "state": "optimized geometry", "lattice_angstrom": [[4.6075, 0.0000, 0.0000], [0.0000, 4.6075, 0.0000], [0.0000, 0.0000, 4.3628]], "species": ["Lu", "Ti", "Tl", "Tl"], "frac_coords": [[0.0000, 0.0000, 0.0000], [0.5000, 0.5000, 0.0000], [0.0000, 0.5000, 0.5000], [0.5000, 0.0000, 0.5000]], "dos_ef_per_ev_atom": 0.5888, "e_form_ev_per_atom": -0.02, "vol_a3_per_cell": 92.6}